This record from the Alexandria database describes a relaxed TcSb2Ir crystal. The functional is PBE.

The structure in CIF format:
```
data_TcSb2Ir
_symmetry_space_group_name_H-M 'C 1 2/m 1'
_symmetry_Int_Tables_number 12
_cell_length_a 8.495
_cell_length_b 3.222
_cell_length_c 5.503
_cell_angle_alpha 90.00
_cell_angle_beta 102.71
_cell_angle_gamma 90.00
loop_
_symmetry_equiv_pos_as_xyz
'x,y,z'
'-x,-y,-z'
'-x,y,-z'
'x,-y,z'
'x+1/2,y+1/2,z'
'-x+1/2,-y+1/2,-z'
'-x+1/2,y+1/2,-z'
'x+1/2,-y+1/2,z'
loop_
_atom_site_label
_atom_site_fract_x
_atom_site_fract_y
_atom_site_fract_z
Tc1 0.000 0.000 0.000
Sb1 0.248 0.500 0.243
Ir1 0.000 0.500 0.500
```

Output
ΔE_f (raw) ... 0.95 eV per formula unit
ρ ... 12064 kg/m³
Energy ... -6.63 eV/atom
Volume ... 18.37 A^3/atom
Distance to the lowest polymorph of the same formula ... 0.107 eV per atom